(1)
## Pm6Pr2Y3Sc (GGA-PBE)

Data for a relaxed Pm6Pr2Y3Sc crystal.

Results
The calculation puts the magnetization at 0.00 μB/f.u. The value obtained for the uncorrected energy is -63.489 eV for the cell shown. The calculation puts the formation enthalpy at 0 K at 24.8 meV per atom.

Cell: 6.2574 6.2574 11.9386 Å, 95.02 95.02 120.00°
Last column: nearest neighbours and their distance in Å.
Fractional coordinates of all 12 atoms:
Pm1 0.0828 0.4119 0.7504  6 Pm 3.57-3.64, 3 Y 3.59-3.62, 1 Sc 3.59, 2 Pr 3.61-3.62
Pm2 0.2467 0.2467 0.2492  6 Pm 3.57-3.64, 3 Y 3.59-3.61, 1 Sc 3.60, 2 Pr 3.62
Pm3 0.4119 0.0828 0.7504  6 Pm 3.57-3.64, 3 Y 3.59-3.62, 1 Sc 3.59, 2 Pr 3.61-3.62
Pm4 0.5881 0.9172 0.2496  6 Pm 3.57-3.64, 3 Y 3.59-3.62, 1 Sc 3.59, 2 Pr 3.61-3.62
Pm5 0.7533 0.7533 0.7508  6 Pm 3.57-3.64, 3 Y 3.59-3.61, 1 Sc 3.60, 2 Pr 3.62
Pm6 0.9172 0.5881 0.2496  6 Pm 3.57-3.64, 3 Y 3.59-3.62, 1 Sc 3.59, 2 Pr 3.61-3.62
Pr1 0.3333 0.6667 0.5000  3 Pr 3.61, 3 Sc 3.61, 6 Pm 3.61-3.62
Pr2 0.6667 0.3333 0.5000  3 Pr 3.61, 3 Sc 3.61, 6 Pm 3.61-3.62
Y1 0.1662 0.8338 0.0000  6 Pm 3.59-3.62, 6 Y 3.60-3.62
Y2 0.5000 0.5000 0.0000  6 Pm 3.59-3.61, 6 Y 3.61-3.62
Y3 0.8338 0.1662 0.0000  6 Pm 3.59-3.62, 6 Y 3.60-3.62
Sc1 0.0000 0.0000 0.5000  6 Pm 3.59-3.60, 6 Pr 3.61

(2)
## Ba5Au2I2 (GGA-PBE)

Data for a relaxed Ba5Au2I2 crystal.

Results
The calculation puts the magnetization at 0.00 μB/f.u. The value obtained for the uncorrected energy is -54.659 eV for the cell shown.

Cell: 10.2487 10.2487 9.1222 Å, 90.00 90.00 52.82°
Last column: nearest neighbours and their distance in Å.
Fractional coordinates of all 18 atoms:
Ba1 0.0000 0.0000 0.0000  4 Au 3.52, 2 I 3.85
Ba2 0.0377 0.7263 0.6542  3 Au 3.42-3.46, 1 I 3.74
Ba3 0.2263 0.5377 0.1542  3 Au 3.42-3.46, 1 I 3.74
Ba4 0.2737 0.9623 0.6542  3 Au 3.42-3.46, 1 I 3.74
Ba5 0.4623 0.7737 0.1542  3 Au 3.42-3.46, 1 I 3.74
Ba6 0.5000 0.5000 0.5000  4 Au 3.52, 2 I 3.85
Ba7 0.5377 0.2263 0.8458  3 Au 3.42-3.46, 1 I 3.74
Ba8 0.7263 0.0377 0.3458  3 Au 3.42-3.46, 1 I 3.74
Ba9 0.7737 0.4623 0.8458  3 Au 3.42-3.46, 1 I 3.74
Ba10 0.9623 0.2737 0.3458  3 Au 3.42-3.46, 1 I 3.74
Au1 0.1404 0.8596 0.3599  8 Ba 3.42-3.52, 1 Au 3.62
Au2 0.3596 0.6404 0.8599  8 Ba 3.42-3.52, 1 Au 3.62
Au3 0.6404 0.3596 0.1401  8 Ba 3.42-3.52, 1 Au 3.62
Au4 0.8596 0.1404 0.6401  8 Ba 3.42-3.52, 1 Au 3.62
I1 0.2097 0.2097 0.0000  7 Ba 3.74-3.85
I2 0.2903 0.2903 0.5000  7 Ba 3.74-3.85
I3 0.7097 0.7097 0.5000  7 Ba 3.74-3.85
I4 0.7903 0.7903 0.0000  7 Ba 3.74-3.85

(3)
## LiErIr (GGA-PBE)

Data for a relaxed LiErIr crystal.

Results
The calculation puts the magnetization at 0.00 μB/f.u. The value obtained for the uncorrected energy is -16.704 eV for the cell shown. Its energy above the most stable polymorph in this dataset is 0.000 eV per atom. The calculation puts the formation enthalpy at 0 K at -455.4 meV per atom.

Cell: 4.3674 4.3674 3.2597 Å, 90.00 90.00 120.00°
Last column: nearest neighbours and their distance in Å.
Fractional coordinates of all 3 atoms:
Li1 0.0000 0.0000 0.0000  3 Ir 2.52
Er1 0.6667 0.3333 0.4981  6 Li 3.00-3.01, 6 Ir 3.00-3.01, 2 Er 3.26
Ir1 0.3333 0.6667 0.9965  3 Li 2.52

(4)
## La2PuScSb4 (GGA-PBE)

Data for a relaxed La2PuScSb4 crystal.

Results
The calculation puts the magnetization at 4.99 μB/f.u. The value obtained for the uncorrected energy is -54.901 eV for the cell shown.

Cell: 7.7072 4.4851 7.7223 Å, 90.00 109.57 90.00°
Last column: nearest neighbours and their distance in Å.
Fractional coordinates of all 8 atoms:
La1 0.0000 0.0000 0.0000  6 Sb 3.21-3.22
La2 0.0000 0.5000 0.5000  6 Sb 3.28
Pu1 0.5000 0.0000 0.5000  6 Sb 3.10-3.11
Sc1 0.5000 0.5000 0.0000  6 Sb 3.03-3.04
Sb1 0.2687 0.5000 0.2491  1 Sc 3.03, 2 Pu 3.11, 3 La 3.22-3.28
Sb2 0.2732 0.0000 0.7647  2 Sc 3.04, 1 Pu 3.10, 3 La 3.21-3.28
Sb3 0.7268 0.0000 0.2353  2 Sc 3.04, 1 Pu 3.10, 3 La 3.21-3.28
Sb4 0.7313 0.5000 0.7509  1 Sc 3.03, 2 Pu 3.11, 3 La 3.22-3.28

(5)
## Ho4GaTe5 (GGA-PBE)

Data for a relaxed Ho4GaTe5 crystal.

Results
The calculation puts the magnetization at 0.05 μB/f.u. The value obtained for the uncorrected energy is -47.418 eV for the cell shown.

Cell: 10.0992 10.0992 8.9650 Å, 106.27 106.27 24.11°
Last column: nearest neighbours and their distance in Å.
Fractional coordinates of all 10 atoms:
Ho1 0.0141 0.0141 0.2501  4 Te 2.97-3.03, 2 Ga 3.15
Ho2 0.3320 0.3320 0.4418  5 Te 3.01-3.07, 1 Ga 3.21
Ho3 0.6680 0.6680 0.5582  5 Te 3.01-3.07, 1 Ga 3.21
Ho4 0.9859 0.9859 0.7499  4 Te 2.97-3.03, 2 Ga 3.15
Ga1 0.5000 0.5000 0.5000  6 Ho 3.15-3.21
Te1 0.1387 0.1387 0.7732  3 Ho 2.97-3.02
Te2 0.1734 0.1734 0.3129  4 Ho 3.01-3.07
Te3 0.5000 0.5000 0.0000  4 Ho 3.03
Te4 0.8266 0.8266 0.6871  4 Ho 3.01-3.07
Te5 0.8613 0.8613 0.2268  3 Ho 2.97-3.02

(6)
## Pm5HoGe4 (GGA-PBE)

Data for a relaxed Pm5HoGe4 crystal.

Results
The calculation puts the magnetization at 0.00 μB/f.u. The value obtained for the uncorrected energy is -53.056 eV for the cell shown. The calculation puts the formation enthalpy at 0 K at -625.6 meV per atom.

Cell: 8.2508 8.2508 6.9850 Å, 90.71 90.71 35.70°
Last column: nearest neighbours and their distance in Å.
Fractional coordinates of all 10 atoms:
Pm1 0.0000 0.0000 0.0000  6 Ge 3.10-3.30
Pm2 0.3346 0.3346 0.4934  5 Ge 2.99-3.22
Pm3 0.3355 0.3355 0.0042  5 Ge 3.05-3.23, 1 Pm 3.42
Pm4 0.6645 0.6645 0.9958  5 Ge 3.05-3.23, 1 Pm 3.42
Pm5 0.6654 0.6654 0.5066  5 Ge 2.99-3.22
Ho1 0.0000 0.0000 0.5000  6 Ge 3.05-3.25
Ge1 0.1765 0.1765 0.7485  7 Pm 3.05-3.30, 1 Ho 3.25
Ge2 0.4909 0.4909 0.7429  6 Pm 2.99-3.23, 2 Ho 3.05
Ge3 0.5091 0.5091 0.2571  6 Pm 2.99-3.23, 2 Ho 3.05
Ge4 0.8235 0.8235 0.2515  7 Pm 3.05-3.30, 1 Ho 3.25

(7)
## ZrScS2 (GGA-PBE)

Data for a relaxed ZrScS2 crystal.

Results
The calculation puts the magnetization at 0.00 μB/f.u. The value obtained for the uncorrected energy is -88.827 eV for the cell shown. Its energy above the most stable polymorph in this dataset is 0.040 eV per atom.

Cell: 3.6828 3.6828 18.2624 Å, 90.00 90.00 120.00°
Last column: nearest neighbours and their distance in Å.
Fractional coordinates of all 12 atoms:
Zr1 0.0000 0.0000 0.0000  6 S 2.64
Zr2 0.3333 0.6667 0.6667  6 S 2.64
Zr3 0.6667 0.3333 0.3333  6 S 2.64
Sc1 0.0000 0.0000 0.5000  6 S 2.59
Sc2 0.3333 0.6667 0.1667  6 S 2.59
Sc3 0.6667 0.3333 0.8333  6 S 2.59
S1 0.0000 0.0000 0.2475  3 Sc 2.59, 3 Zr 2.64
S2 0.0000 0.0000 0.7525  3 Sc 2.59, 3 Zr 2.64
S3 0.3333 0.6667 0.4191  3 Sc 2.59, 3 Zr 2.64
S4 0.3333 0.6667 0.9142  3 Sc 2.59, 3 Zr 2.64
S5 0.6667 0.3333 0.0858  3 Sc 2.59, 3 Zr 2.64
S6 0.6667 0.3333 0.5809  3 Sc 2.59, 3 Zr 2.64

(8)
## Ho6Tl2Te3Pb (GGA-PBE)

Data for a relaxed Ho6Tl2Te3Pb crystal.

Results
The calculation puts the magnetization at 0.00 μB/f.u. The value obtained for the uncorrected energy is -55.257 eV for the cell shown.

Cell: 10.0762 10.0762 8.7847 Å, 111.37 111.37 25.09°
Last column: nearest neighbours and their distance in Å.
Fractional coordinates of all 12 atoms:
Ho1 0.0097 0.0097 0.2509  2 Pb 3.06, 3 Te 3.15-3.16, 1 Tl 3.24
Ho2 0.3300 0.3300 0.8638  1 Pb 3.10, 3 Te 3.12-3.33, 2 Tl 3.15
Ho3 0.3390 0.3390 0.3644  3 Te 2.94-3.05, 3 Tl 3.14
Ho4 0.6610 0.6610 0.6356  3 Te 2.94-3.05, 3 Tl 3.14
Ho5 0.6700 0.6700 0.1362  1 Pb 3.10, 3 Te 3.12-3.33, 2 Tl 3.15
Ho6 0.9903 0.9903 0.7491  2 Pb 3.06, 3 Te 3.15-3.16, 1 Tl 3.24
Tl1 0.1871 0.1871 0.4063  6 Ho 3.14-3.24, 2 Tl 3.25
Tl2 0.8129 0.8129 0.5937  6 Ho 3.14-3.24, 2 Tl 3.25
Te1 0.1632 0.1632 0.8784  6 Ho 3.05-3.33
Te2 0.5000 0.5000 0.5000  6 Ho 2.94-3.15
Te3 0.8368 0.8368 0.1216  6 Ho 3.05-3.33
Pb1 0.5000 0.5000 0.0000  6 Ho 3.06-3.10

(9)
## Te2POs (GGA-PBE)

Data for a relaxed Te2POs crystal.

Results
The calculation puts the magnetization at 0.00 μB/f.u. The value obtained for the uncorrected energy is -38.445 eV for the cell shown. Its energy above the most stable polymorph in this dataset is 0.828 eV per atom.

Cell: 3.1844 5.2600 9.9748 Å, 90.00 90.00 90.00°
Last column: nearest neighbours and their distance in Å.
Fractional coordinates of all 8 atoms:
Te1 0.0000 0.0000 0.2227  2 Os 2.73
Te2 0.0000 0.0000 0.7773  2 Os 2.73
Te3 0.5000 0.5000 0.2227  2 Os 2.73
Te4 0.5000 0.5000 0.7773  2 Os 2.73
P1 0.0000 0.5000 0.5000  6 P 3.07-3.18, 4 Te 3.19
P2 0.5000 0.0000 0.5000  6 P 3.07-3.18, 4 Te 3.19
Os1 0.0000 0.5000 0.0000  4 Te 2.73
Os2 0.5000 0.0000 0.0000  4 Te 2.73

(10)
## Pm2Nd6Ho3Tl (GGA-PBE)

Data for a relaxed Pm2Nd6Ho3Tl crystal.

Results
The calculation puts the magnetization at 0.00 μB/f.u. The value obtained for the uncorrected energy is -54.497 eV for the cell shown. The calculation puts the formation enthalpy at 0 K at -24.1 meV per atom.

Cell: 6.2298 6.2298 11.9098 Å, 95.02 95.02 120.12°
Last column: nearest neighbours and their distance in Å.
Fractional coordinates of all 12 atoms:
Pm1 0.1662 0.8338 0.0000  3 Pm 3.59-3.60, 3 Tl 3.59-3.60, 6 Nd 3.62
Pm2 0.8338 0.1662 0.0000  3 Pm 3.59-3.60, 3 Tl 3.59-3.60, 6 Nd 3.62
Nd1 0.0895 0.4164 0.7487  6 Nd 3.52-3.63, 3 Ho 3.57-3.60, 1 Tl 3.58, 2 Pm 3.62
Nd2 0.2571 0.2571 0.2523  6 Nd 3.52-3.63, 3 Ho 3.56-3.59, 1 Tl 3.59, 2 Pm 3.62
Nd3 0.4164 0.0895 0.7487  6 Nd 3.52-3.63, 3 Ho 3.57-3.60, 1 Tl 3.58, 2 Pm 3.62
Nd4 0.5836 0.9105 0.2513  6 Nd 3.52-3.63, 3 Ho 3.57-3.60, 1 Tl 3.58, 2 Pm 3.62
Nd5 0.7429 0.7429 0.7477  6 Nd 3.52-3.63, 3 Ho 3.56-3.59, 1 Tl 3.59, 2 Pm 3.62
Nd6 0.9105 0.5836 0.2513  6 Nd 3.52-3.63, 3 Ho 3.57-3.60, 1 Tl 3.58, 2 Pm 3.62
Ho1 0.0000 0.0000 0.5000  6 Nd 3.57-3.59, 6 Ho 3.59-3.60
Ho2 0.3327 0.6673 0.5000  6 Nd 3.56-3.60, 6 Ho 3.59-3.61
Ho3 0.6673 0.3327 0.5000  6 Nd 3.56-3.60, 6 Ho 3.59-3.61
Tl1 0.5000 0.5000 0.0000  6 Nd 3.58-3.59, 6 Pm 3.59-3.60

> The highest uncorrected energy belongs to which entry?

LiErIr

> magnetization of number 6 (Pm5HoGe4)?

0.00 μB/f.u.

> What is the uncorrected energy in the fifth record?

-47.418 eV for the cell shown

> uncorrected energy of number 3 (LiErIr)?

-16.704 eV for the cell shown